As2Ir2Se | PBE | optimized geometry

Summary:
The calculation puts the energy at -59.65 eV for the cell shown. Its crystal system is tetragonal. As for the raw formation energy: 0.14 eV per atom.

Unit cell a=4.056 b=4.056 c=11.335 alpha=90.00 beta=90.00 gamma=90.00
Space group I4/mmm (No. 139)
Inequivalent atoms, fractional coordinates:
As 0.000 0.000 0.122 (multiplicity 4)
Ir 0.000 0.500 0.250 (multiplicity 4)
Se 0.000 0.000 0.500 (multiplicity 2)